Tc2NiAu meta-GGA SCAN PBEsol geometry; crystal system = tetragonal; space group = I4/mmm, No. 139
1.0
-1.834 1.834 4.069
1.834 -1.834 4.069
1.834 1.834 -4.069
Tc Ni Au
2 1 1
Direct
0.250 0.750 0.500 Tc
0.750 0.250 0.500 Tc
0.000 0.000 0.000 Ni
0.500 0.500 0.000 Au


TcNi6Au meta-GGA SCAN PBEsol geometry; crystal system = orthorhombic; space group = Cmmm, No. 65
1.0
3.594 -5.072 0.000
3.594 5.072 0.000
0.000 0.000 10.177
Tc Ni Au
4 24 4
Direct
0.000 0.000 0.245 Tc
0.000 0.000 0.755 Tc
0.249 0.751 0.500 Tc
0.751 0.249 0.500 Tc
0.000 0.000 0.000 Ni
0.000 0.000 0.500 Ni
0.116 0.371 0.380 Ni
0.116 0.371 0.620 Ni
0.119 0.365 0.130 Ni
0.119 0.365 0.870 Ni
0.245 0.755 0.258 Ni
0.245 0.755 0.742 Ni
0.365 0.119 0.130 Ni
0.365 0.119 0.870 Ni
0.371 0.116 0.380 Ni
0.371 0.116 0.620 Ni
0.500 0.500 0.000 Ni
0.500 0.500 0.500 Ni
0.629 0.884 0.380 Ni
0.629 0.884 0.620 Ni
0.635 0.881 0.130 Ni
0.635 0.881 0.870 Ni
0.755 0.245 0.258 Ni
0.755 0.245 0.742 Ni
0.881 0.635 0.130 Ni
0.881 0.635 0.870 Ni
0.884 0.629 0.380 Ni
0.884 0.629 0.620 Ni
0.254 0.746 0.000 Au
0.500 0.500 0.252 Au
0.500 0.500 0.748 Au
0.746 0.254 0.000 Au


Sequential E output: -38.65 -25.05 eV/atom